1.
Ac2AlCuO6: relaxed, PBE. Values from VASP.

* formation energy from raw total energies: -2.61 eV/atom
* magnetic moment: 0.000 μB per atom
* VASP energy: -7.19 eV/atom
* density: 8.9 Mg/m³

Cell and atoms, written as Quantum ESPRESSO input:
```
&SYSTEM
  ibrav = 0, nat = 10, ntyp = 4
/
ATOMIC_SPECIES
Ac 227.00 Ac.upf
Al 26.98 Al.upf
Cu 63.55 Cu.upf
O 16.00 O.upf
CELL_PARAMETERS angstrom
3.925 0.000 0.000
0.000 3.925 0.000
0.000 0.000 7.795
ATOMIC_POSITIONS crystal
Ac 0.000 0.000 0.247
Ac 0.000 0.000 0.753
Al 0.500 0.500 0.500
Cu 0.500 0.500 0.000
O 0.000 0.500 0.000
O 0.000 0.500 0.500
O 0.500 0.000 0.000
O 0.500 0.000 0.500
O 0.500 0.500 0.255
O 0.500 0.500 0.745
```

---

2.
ThTaC: relaxed, PBE. Values from VASP.

* magnetic moment: 0.186 μB per atom
* VASP energy: -9.61 eV/atom
* density: 12.6 Mg/m³
* calculated formation energy: -0.110 eV/atom
* excess energy over the best structure of this formula in the dataset: 108 meV/atom

Cell and atoms, written as Quantum ESPRESSO input:
```
&SYSTEM
  ibrav = 0, nat = 3, ntyp = 3
/
ATOMIC_SPECIES
Th 232.04 Th.upf
Ta 180.95 Ta.upf
C 12.01 C.upf
CELL_PARAMETERS angstrom
3.324 0.000 0.000
-1.662 2.878 0.000
0.000 0.000 5.875
ATOMIC_POSITIONS crystal
Th 0.000 0.000 0.000
Ta 0.333 0.667 0.477
C 0.667 0.333 0.304
```

---

3.
Y2ZnHg2: relaxed, PBE. Values from VASP.

* magnetic moment: 0.000 μB per atom
* VASP energy: -2.97 eV/atom
* density: 7.6 Mg/m³
* calculated formation energy: -0.012 eV/atom
* excess energy over the best structure of this formula in the dataset: 395 meV/atom

Cell and atoms, written as Quantum ESPRESSO input:
```
&SYSTEM
  ibrav = 0, nat = 5, ntyp = 3
/
ATOMIC_SPECIES
Y 88.91 Y.upf
Zn 65.41 Zn.upf
Hg 200.59 Hg.upf
CELL_PARAMETERS angstrom
-2.946 2.946 4.053
2.946 -2.946 4.053
2.946 2.946 -4.053
ATOMIC_POSITIONS crystal
Y 0.250 0.750 0.500
Y 0.750 0.250 0.500
Zn 0.000 0.000 0.000
Hg 0.334 0.334 0.000
Hg 0.666 0.666 0.000
```

---

4.
Re2TcPt: relaxed, PBE. Values from VASP.

* magnetic moment: 0.000 μB per atom
* VASP energy: -10.36 eV/atom
* density: 18.4 Mg/m³
* calculated formation energy: -0.038 eV/atom
* excess energy over the best structure of this formula in the dataset: 47 meV/atom

Cell and atoms, written as Quantum ESPRESSO input:
```
&SYSTEM
  ibrav = 0, nat = 4, ntyp = 3
/
ATOMIC_SPECIES
Re 186.21 Re.upf
Tc 98.00 Tc.upf
Pt 195.08 Pt.upf
CELL_PARAMETERS angstrom
1.380 0.797 9.083
-1.380 0.797 9.083
0.000 -1.594 9.083
ATOMIC_POSITIONS crystal
Re 0.000 0.000 0.000
Re 0.251 0.251 0.251
Tc 0.748 0.748 0.748
Pt 0.499 0.499 0.499
```

---

5.
Ba5Cl3: relaxed, PBE. Values from VASP.

* formation energy from raw total energies: -1.00 eV/atom
* magnetic moment: 0.002 μB per atom
* VASP energy: -2.90 eV/atom
* density: 3.9 Mg/m³

Cell and atoms, written as Quantum ESPRESSO input:
```
&SYSTEM
  ibrav = 0, nat = 16, ntyp = 2
/
ATOMIC_SPECIES
Ba 137.33 Ba.upf
Cl 35.45 Cl.upf
CELL_PARAMETERS angstrom
9.984 0.000 0.000
-4.992 8.647 0.000
0.000 0.000 7.899
ATOMIC_POSITIONS crystal
Ba 0.000 0.237 0.250
Ba 0.000 0.763 0.750
Ba 0.237 0.000 0.250
Ba 0.237 0.237 0.750
Ba 0.333 0.667 0.000
Ba 0.333 0.667 0.500
Ba 0.667 0.333 0.000
Ba 0.667 0.333 0.500
Ba 0.763 0.000 0.750
Ba 0.763 0.763 0.250
Cl 0.000 0.449 0.750
Cl 0.000 0.551 0.250
Cl 0.449 0.000 0.750
Cl 0.449 0.449 0.250
Cl 0.551 0.000 0.250
Cl 0.551 0.551 0.750
```

---

6.
Nd4As3: relaxed, PBE. Values from VASP.

* magnetic moment: 0.000 μB per atom
* VASP energy: -5.99 eV/atom
* density: 7.2 Mg/m³
* calculated formation energy: -1.270 eV/atom
* excess energy over the best structure of this formula in the dataset: 0 meV/atom

Cell and atoms, written as Quantum ESPRESSO input:
```
&SYSTEM
  ibrav = 0, nat = 14, ntyp = 2
/
ATOMIC_SPECIES
Nd 144.24 Nd.upf
As 74.92 As.upf
CELL_PARAMETERS angstrom
-4.521 4.521 4.521
4.521 -4.521 4.521
4.521 4.521 -4.521
ATOMIC_POSITIONS crystal
Nd 0.000 0.367 0.500
Nd 0.000 0.867 0.500
Nd 0.133 0.133 0.133
Nd 0.367 0.500 0.000
Nd 0.500 0.000 0.367
Nd 0.500 0.000 0.867
Nd 0.633 0.633 0.633
Nd 0.867 0.500 0.000
As 0.125 0.750 0.875
As 0.250 0.625 0.375
As 0.375 0.250 0.625
As 0.625 0.375 0.250
As 0.750 0.875 0.125
As 0.875 0.125 0.750
```

---

7.
LiHoMgHg: relaxed, PBE. Values from VASP.

* magnetic moment: 0.000 μB per atom
* VASP energy: -2.41 eV/atom
* density: 7.6 Mg/m³
* calculated formation energy: -0.315 eV/atom

Cell and atoms, written as Quantum ESPRESSO input:
```
&SYSTEM
  ibrav = 0, nat = 4, ntyp = 4
/
ATOMIC_SPECIES
Li 6.94 Li.upf
Ho 164.93 Ho.upf
Mg 24.30 Mg.upf
Hg 200.59 Hg.upf
CELL_PARAMETERS angstrom
0.000 3.509 3.509
3.509 0.000 3.509
3.509 3.509 0.000
ATOMIC_POSITIONS crystal
Li 0.000 0.000 0.000
Ho 0.250 0.250 0.250
Mg 0.750 0.750 0.750
Hg 0.500 0.500 0.500
```

---

8.
MgTa2Cl: relaxed, PBE. Values from VASP.

* formation energy from raw total energies: 0.30 eV/atom
* magnetic moment: 0.000 μB per atom
* VASP energy: -6.49 eV/atom
* density: 9.3 Mg/m³
* excess energy over the best structure of this formula in the dataset: 360 meV/atom

Cell and atoms, written as Quantum ESPRESSO input:
```
&SYSTEM
  ibrav = 0, nat = 4, ntyp = 3
/
ATOMIC_SPECIES
Mg 24.30 Mg.upf
Ta 180.95 Ta.upf
Cl 35.45 Cl.upf
CELL_PARAMETERS angstrom
5.026 -1.472 0.000
5.026 1.472 0.000
-2.072 0.000 5.073
ATOMIC_POSITIONS crystal
Mg 0.000 0.000 0.000
Ta 0.580 0.580 0.530
Ta 0.816 0.816 0.368
Cl 0.248 0.248 0.941
```